# 1
The following is a PBE calculation of a geometry-optimized SmGa2Co structure, from Alexandria via LeMat-Bulk.

abc: 4.0892 4.0892 15.6047
angles: 90.00 90.00 120.00
Space group R-3m (No. 166, hexagonal axes)
Unique sites:
1 Sm 0.0000 0.0000 0.0000
2 Ga 0.0000 0.0000 0.2101
3 Co 0.0000 0.0000 0.5000

Calculated values
The calculation puts the energy relative to the elements at -44.6 kJ/mol of atoms. The total energy is -4.9321 eV per atom. The theoretical density comes out at 7688 kg/m3. Its density of states at the Fermi level is 10.7 states/eV/cell.

# 2
The following is a PBE calculation of a geometry-optimized Sm2Ga3Co2 structure, from Alexandria via LeMat-Bulk.

abc: 10.185 3.997 7.037
angles: 90.00 116.67 90.00
Space group C2/m (No. 12)
Unique sites:
1 Sm 0.141 0.000 0.271
2 Ga 0.000 0.500 0.500
3 Ga 0.145 0.500 0.943
4 Co 0.129 0.000 0.700

Calculated values
The calculation puts the energy relative to the elements at -44.9 kJ/mol of atoms. The total energy is -5.1406 eV per atom. The theoretical density comes out at 8143 kg/m3. Its density of states at the Fermi level is 9.2 states/eV/cell.